The following is a DFT calculation (PBE) of Nd2NiIr after structural relaxation.

Lattice parameters (Å, degrees): 7.049 7.049 7.049 90.00 90.00 90.00
Fractional positions:
Nd 0.250 0.250 0.250
Nd 0.250 0.250 0.750
Nd 0.250 0.750 0.250
Nd 0.250 0.750 0.750
Nd 0.750 0.250 0.250
Nd 0.750 0.250 0.750
Nd 0.750 0.750 0.250
Nd 0.750 0.750 0.750
Ni 0.000 0.000 0.000
Ni 0.000 0.500 0.500
Ni 0.500 0.000 0.500
Ni 0.500 0.500 0.000
Ir 0.000 0.000 0.500
Ir 0.000 0.500 0.000
Ir 0.500 0.000 0.000
Ir 0.500 0.500 0.500

Values from the calculation:
SG ... Fm-3m
E above lowest polymorph ... 93 meV/atom

---

The following is a DFT calculation (PBE) of Nd8Ni2Ir after structural relaxation.

Lattice parameters (Å, degrees): 7.571 7.571 6.477 101.16 101.16 112.31
Fractional positions:
Nd 0.000 0.000 0.000
Nd 0.005 0.278 0.559
Nd 0.155 0.548 0.179
Nd 0.278 0.005 0.559
Nd 0.441 0.709 0.801
Nd 0.548 0.155 0.179
Nd 0.709 0.441 0.801
Nd 0.716 0.716 0.387
Ni 0.049 0.679 0.699
Ni 0.679 0.049 0.699
Ir 0.366 0.366 0.406

Values from the calculation:
SG ... Cm
E above lowest polymorph ... 73 meV/atom

---

The following is a DFT calculation (PBE) of NdNi5Ir2 after structural relaxation.

Lattice parameters (Å, degrees): 3.825 6.699 9.446 90.00 90.00 90.00
Fractional positions:
Nd 0.000 0.000 0.000
Nd 0.500 0.500 0.500
Ni 0.000 0.178 0.368
Ni 0.000 0.178 0.632
Ni 0.000 0.500 0.000
Ni 0.000 0.822 0.368
Ni 0.000 0.822 0.632
Ni 0.500 0.000 0.500
Ni 0.500 0.322 0.132
Ni 0.500 0.322 0.868
Ni 0.500 0.678 0.132
Ni 0.500 0.678 0.868
Ir 0.000 0.500 0.254
Ir 0.000 0.500 0.746
Ir 0.500 0.000 0.246
Ir 0.500 0.000 0.754

Values from the calculation:
SG ... Immm

---

The following is a DFT calculation (PBE) of NdNiIr after structural relaxation.

Lattice parameters (Å, degrees): 5.223 5.448 7.444 90.00 90.00 90.00
Fractional positions:
Nd 0.000 0.250 0.123
Nd 0.000 0.750 0.877
Nd 0.500 0.250 0.377
Nd 0.500 0.750 0.623
Ni 0.250 0.250 0.750
Ni 0.250 0.750 0.250
Ni 0.750 0.250 0.750
Ni 0.750 0.750 0.250
Ir 0.000 0.000 0.500
Ir 0.000 0.500 0.500
Ir 0.500 0.000 0.000
Ir 0.500 0.500 0.000

Values from the calculation:
SG ... Imma

---

The following is a DFT calculation (PBE) of Nd2Ni2Ir after structural relaxation.

Lattice parameters (Å, degrees): 6.929 6.929 4.035 90.00 90.00 90.00
Fractional positions:
Nd 0.186 0.314 0.000
Nd 0.314 0.814 0.000
Nd 0.686 0.186 0.000
Nd 0.814 0.686 0.000
Ni 0.122 0.622 0.500
Ni 0.378 0.122 0.500
Ni 0.622 0.878 0.500
Ni 0.878 0.378 0.500
Ir 0.000 0.000 0.500
Ir 0.500 0.500 0.500

Values from the calculation:
SG ... P4/mbm
E above lowest polymorph ... 99 meV/atom

---

The following is a DFT calculation (PBE) of Nd3Ni2Ir7 after structural relaxation.

Lattice parameters (Å, degrees): 9.102 9.102 9.102 34.21 34.21 34.21
Fractional positions:
Nd 0.000 0.000 0.000
Nd 0.140 0.140 0.140
Nd 0.860 0.860 0.860
Ni 0.333 0.333 0.333
Ni 0.667 0.667 0.667
Ir 0.078 0.580 0.580
Ir 0.420 0.420 0.922
Ir 0.420 0.922 0.420
Ir 0.500 0.500 0.500
Ir 0.580 0.078 0.580
Ir 0.580 0.580 0.078
Ir 0.922 0.420 0.420

Values from the calculation:
SG ... R-3m

---

Magnetic moment (Bohr magnetons per cell)
0.00, 0.00, 0.01, 0.00, 0.00, 0.00
Uncorrected energy (eV per atom)
-6.48, -5.47, -6.41, -7.01, -6.33, -7.88
Energy of formation (eV per formula unit)
-1.7, -1.7, 0.1, -1.6, -1.7, -6.6